1.
The following is a PBE-GGA calculation of U2BeGePt6 after structural relaxation, from the Alexandria database.

Formation energy   -0.283 eV per atom
Symmetry   No. 225

abc: 6.4387 6.4387 6.4387
angles: 60.00 60.00 60.00
Atoms (fractional coordinates):
U 0.2500 0.2500 0.2500
U 0.7500 0.7500 0.7500
Be 0.0000 0.0000 0.0000
Ge 0.5000 0.5000 0.5000
Pt 0.2362 0.2362 0.7638
Pt 0.2362 0.7638 0.2362
Pt 0.2362 0.7638 0.7638
Pt 0.7638 0.2362 0.2362
Pt 0.7638 0.2362 0.7638
Pt 0.7638 0.7638 0.2362



2.
The following is a PBE-GGA calculation of Y2BeGePt6 after structural relaxation, from the Alexandria database.

Formation energy   -0.830 eV per atom
Symmetry   No. 12

abc: 5.7021 5.7021 7.2891
angles: 112.94 112.94 60.03
Atoms (fractional coordinates):
Y 0.2116 0.2116 0.1335
Y 0.7884 0.7884 0.8665
Be 0.0000 0.0000 0.5000
Ge 0.5000 0.5000 0.0000
Pt 0.2400 0.2400 0.7091
Pt 0.2395 0.7278 0.7085
Pt 0.2722 0.7605 0.2915
Pt 0.7278 0.2395 0.7085
Pt 0.7605 0.2722 0.2915
Pt 0.7600 0.7600 0.2909



3.
The following is a PBE-GGA calculation of YBeGePt3 after structural relaxation, from the Alexandria database.

Formation energy   -0.750 eV per atom
Symmetry   No. 63

abc: 6.7374 6.7374 5.5451
angles: 90.00 90.00 123.20
Atoms (fractional coordinates):
Y 0.2207 0.7793 0.7500
Y 0.7793 0.2207 0.2500
Be 0.4734 0.5266 0.7500
Be 0.5266 0.4734 0.2500
Ge 0.1307 0.8693 0.2500
Ge 0.8693 0.1307 0.7500
Pt 0.2252 0.2252 0.0000
Pt 0.2252 0.2252 0.5000
Pt 0.3320 0.6680 0.2500
Pt 0.6680 0.3320 0.7500
Pt 0.7748 0.7748 0.0000
Pt 0.7748 0.7748 0.5000



Among the records above, which one has the lowest formation energy? Y2BeGePt6